1.
VASP calculation (PBE) on an optimized crystal structure of TlZnF3.

POSCAR file:
```
TlZnF3
1.0
-2.6828 4.4307 11.2641
-7.6499 1.0001 3.3304
-3.4621 -6.6796 -3.7429
F Tl Zn
12 4 4
Direct
0.0739 0.1980 0.1556 F
0.3484 0.2265 0.1967 F
0.5894 0.5625 0.5575 F
0.9106 0.0575 0.0625 F
0.9261 0.8020 0.8444 F
0.4106 0.4375 0.4425 F
0.5739 0.3444 0.3020 F
0.1516 0.6967 0.7265 F
0.8484 0.3033 0.2735 F
0.0894 0.9425 0.9375 F
0.4261 0.6556 0.6980 F
0.6516 0.7735 0.8033 F
0.2659 0.8994 0.8178 Tl
0.2341 0.3178 0.3994 Tl
0.7341 0.1006 0.1822 Tl
0.7659 0.6822 0.6006 Tl
0.2500 0.8160 0.3160 Zn
0.7500 0.1840 0.6840 Zn
0.2500 0.5487 0.0487 Zn
0.7500 0.4513 0.9513 Zn
```

raw formation energy: -2.107 eV per atom
density: 5.6 g/cm³
symmetry: C2/c
total magnetic moment: 0.00 μB/f.u.
E_tot: -3.96 eV/atom

---

2.
VASP calculation (PBE) on an optimized crystal structure of Ac2Al4Zn3In.

POSCAR file:
```
Ac2Al4Zn3In
1.0
-1.7770 2.7291 -3.1201
1.7571 -2.5787 -3.2563
-9.1382 -6.0816 -0.1149
Al Ac Zn In
4 2 3 1
Direct
0.0000 0.5000 0.3576 Al
0.5000 0.0000 0.6424 Al
0.0000 0.0000 0.0000 Al
0.5000 0.5000 0.0000 Al
0.0000 0.5000 0.7562 Ac
0.5000 0.0000 0.2438 Ac
0.0000 0.5000 0.1259 Zn
0.0000 0.0000 0.5000 Zn
0.5000 0.0000 0.8741 Zn
0.5000 0.5000 0.5000 In
```

density: 6.5 g/cm³
symmetry: P-4m2
total magnetic moment: 0.00 μB/f.u.
energy of formation from the pure elements: -367 meV per atom
E_tot: -3.34 eV/atom

---

3.
VASP calculation (PBE) on an optimized crystal structure of RbCe2TeO8.

POSCAR file:
```
RbCe2TeO8
1.0
5.0241 0.0360 -0.0037
0.0716 5.0168 -0.0056
0.0035 0.0064 7.6523
Ce O Te Rb
2 8 1 1
Direct
0.5000 0.5000 0.7663 Ce
0.5000 0.5000 0.2337 Ce
0.6381 0.6485 0.5001 O
0.1921 0.8061 0.1830 O
0.2797 0.2779 0.0000 O
0.8082 0.1941 0.1830 O
0.7203 0.7221 0.0000 O
0.8079 0.1939 0.8170 O
0.3619 0.3515 0.4999 O
0.1918 0.8059 0.8170 O
0.0000 0.0000 0.0000 Te
0.0000 0.0000 0.5000 Rb
```

raw formation energy: -2.083 eV per atom
density: 5.3 g/cm³
symmetry: P2/m
total magnetic moment: 0.99 μB/f.u.
E_tot: -6.72 eV/atom

---

Number 1 is which compound? TlZnF3

---

Which of these has the highest E_tot? Ac2Al4Zn3In

---

Which value of total magnetic moment does entry 1 give? 0.00 μB/f.u.

---

total magnetic moment of number 2 (Ac2Al4Zn3In)? 0.00 μB/f.u.